# Sc2RePt2

Crystalline Sc2RePt2 at its relaxed geometry (PBE, the Alexandria database).

POSCAR file:
```
Sc2RePt2
1.0
7.004 0.000 0.000
0.000 7.004 0.000
0.000 0.000 3.690
Sc Re Pt
4 2 4
Direct
0.171 0.329 0.000
0.329 0.829 0.000
0.671 0.171 0.000
0.829 0.671 0.000
0.000 0.000 0.500
0.500 0.500 0.500
0.135 0.635 0.500
0.365 0.135 0.500
0.635 0.865 0.500
0.865 0.365 0.500
```

Results
As for the crystal system: tetragonal. As for the total energy: -79.996 eV for the cell shown.